Record 1
Pm3Nb5H12: optimized geometry, PBE-GGA.

abc: 12.1133 12.1133 12.1133
angles: 90.00 90.00 90.00
Closest atoms and distances in Å follow each position.
Space group Ia-3d (No. 230)
Asymmetric unit:
1 Pm 0.0000 0.2500 0.1250 [24 per cell]  8 H 2.29-2.31
2 Nb 0.0000 0.0000 0.0000 [16 per cell]  6 H 1.94
3 Nb 0.0000 0.2500 0.3750 [24 per cell]  4 H 1.93
4 H 0.0205 0.0619 0.6464 [96 per cell]  2 Nb 1.93-1.94

Calculated values
- Final energy: -5.4850 eV/atom


Record 2
ZnPt2: optimized geometry, PBE-GGA.

abc: 3.8304 11.7701 4.0217
angles: 90.00 90.00 90.00
Closest atoms and distances in Å follow each position.
Space group Cmcm (No. 63)
Asymmetric unit:
1 Zn 0.0000 0.0849 0.2500 [4 per cell]  10 Pt 2.66-2.86, 2 Zn 2.84
2 Pt 0.0000 0.2578 0.7500 [4 per cell]  4 Zn 2.66-2.86, 8 Pt 2.77-2.84
3 Pt 0.0000 0.4202 0.2500 [4 per cell]  6 Zn 2.73-2.78, 6 Pt 2.75-2.84

Calculated values
- Final energy: -4.8308 eV/atom
- ΔE_f: -378.9 meV per atom


Record 3
LiPtCl: optimized geometry, PBE-GGA.

abc: 5.7713 3.0349 12.4354
angles: 90.00 90.00 90.00
Closest atoms and distances in Å follow each position.
Space group Pnma (No. 62)
Asymmetric unit:
1 Li 0.1979 0.2500 0.1661 [4 per cell]  4 Cl 2.55-2.59, 3 Pt 2.75-2.82
2 Pt 0.1351 0.2500 0.9467 [4 per cell]  1 Cl 2.39, 2 Pt 2.55
3 Cl 0.0521 0.7500 0.3212 [4 per cell]  1 Pt 2.39, 4 Li 2.55-2.59

Calculated values
- Final energy: -3.9434 eV/atom


Record 4
La2Pr5Er3: optimized geometry, PBE-GGA.

abc: 11.1204 15.4124 9.9126
angles: 90.00 123.88 90.00
Closest atoms and distances in Å follow each position.
Space group C2/c (No. 15)
Asymmetric unit:
1 La 0.1478 0.1225 0.0551 [8 per cell]  3 Er 3.26-3.52, 3 Pr 3.35-3.55
2 Pr 0.0000 0.2283 0.2500 [4 per cell]  3 Er 3.17-3.38, 2 La 3.55
3 Pr 0.0000 0.2665 0.7500 [4 per cell]  1 Pr 3.12, 2 La 3.35
4 Pr 0.0000 0.4686 0.7500 [4 per cell]  1 Pr 3.12, 2 Er 3.41
5 Pr 0.2348 0.3821 0.2295 [8 per cell]  3 Pr 3.57-3.65, 4 Er 3.57-3.98, 2 La 3.71-3.87
6 Er 0.0000 0.0224 0.2500 [4 per cell]  1 Pr 3.17, 4 La 3.36-3.52, 2 Er 3.51
7 Er 0.1582 0.3781 0.5493 [8 per cell]  1 La 3.26, 5 Pr 3.38-3.64, 1 Er 3.51

Calculated values
- Final energy: -4.5695 eV/atom
- ΔE_f: 174.6 meV per atom


Which value of final energy does entry 2 give? -4.8308 eV/atom


What did the first record say?
Pm3Nb5H12: optimized geometry, PBE-GGA.

abc: 12.1133 12.1133 12.1133
angles: 90.00 90.00 90.00
Closest atoms and distances in Å follow each position.
Space group Ia-3d (No. 230)
Asymmetric unit:
1 Pm 0.0000 0.2500 0.1250 [24 per cell]  8 H 2.29-2.31
2 Nb 0.0000 0.0000 0.0000 [16 per cell]  6 H 1.94
3 Nb 0.0000 0.2500 0.3750 [24 per cell]  4 H 1.93
4 H 0.0205 0.0619 0.6464 [96 per cell]  2 Nb 1.93-1.94

Calculated values
- Final energy: -5.4850 eV/atom


Which formula does entry 1 have? Pm3Nb5H12